No. 1
# SnB2Ir

SnB2Ir after structural relaxation (GGA-PBE, Alexandria via LeMat-Bulk).

- space group = No. 122
- formation energy from the elements (eV/atom) = 0.405

a = 6.1214 Å, b = 6.1214 Å, c = 6.1214 Å
α = 130.42°, β = 130.42°, γ = 72.74°
Closest atoms and distances in Å follow each position.
Positions (direct):
1 Sn 0.0000 0.0000 0.0000  4 B 2.39
2 Sn 0.7500 0.2500 0.5000  4 B 2.39
3 B 0.1869 0.6250 0.0619  2 Ir 2.02
4 B 0.3750 0.4369 0.5619  2 Ir 2.02
5 B 0.5631 0.1250 0.9381  2 Ir 2.02
6 B 0.8750 0.8131 0.4381  2 Ir 2.02
7 Ir 0.2500 0.7500 0.5000  4 B 2.02
8 Ir 0.5000 0.5000 0.0000  4 B 2.02

=====

No. 2
# AgSbOs2

AgSbOs2 after structural relaxation (GGA-PBE, Alexandria via LeMat-Bulk).

- space group = No. 216
- formation energy (no corrections) (eV/f.u.) = 3.54

a = 4.5811 Å, b = 4.5811 Å, c = 4.5811 Å
α = 60.00°, β = 60.00°, γ = 60.00°
Closest atoms and distances in Å follow each position.
Positions (direct):
1 Ag 0.0000 0.0000 0.0000  4 Sb 2.81, 4 Os 2.81
2 Sb 0.2500 0.2500 0.2500  4 Os 2.81, 4 Ag 2.81
3 Os 0.5000 0.5000 0.5000  4 Sb 2.81, 4 Os 2.81
4 Os 0.7500 0.7500 0.7500  4 Os 2.81, 4 Ag 2.81

=====

No. 3
# Rb3Ac2NdSe6

Rb3Ac2NdSe6 after structural relaxation (GGA-PBE, Alexandria via LeMat-Bulk).

- space group = No. 12
- formation energy (no corrections) (eV/f.u.) = -21.34

a = 7.8560 Å, b = 7.8560 Å, c = 8.4575 Å
α = 98.91°, β = 98.91°, γ = 120.00°
Closest atoms and distances in Å follow each position.
Positions (direct):
1 Rb 0.0000 0.0000 0.0000  6 Se 3.50-3.60
2 Rb 0.3327 0.6673 0.0000  6 Se 3.50-3.59
3 Rb 0.6673 0.3327 0.0000  6 Se 3.50-3.59
4 Ac 0.1666 0.8334 0.5000  6 Se 3.13
5 Ac 0.8334 0.1666 0.5000  6 Se 3.13
6 Nd 0.5000 0.5000 0.5000  6 Se 3.02
7 Se 0.1091 0.4317 0.2950  1 Nd 3.02, 2 Ac 3.13
8 Se 0.2459 0.2459 0.7049  1 Nd 3.02, 2 Ac 3.13
9 Se 0.4317 0.1091 0.2950  1 Nd 3.02, 2 Ac 3.13
10 Se 0.5683 0.8909 0.7050  1 Nd 3.02, 2 Ac 3.13
11 Se 0.7541 0.7541 0.2951  1 Nd 3.02, 2 Ac 3.13
12 Se 0.8909 0.5683 0.7050  1 Nd 3.02, 2 Ac 3.13

=====

No. 4
# CaFe2

CaFe2 after structural relaxation (GGA-PBE, Alexandria via LeMat-Bulk).

- space group = No. 139
- formation energy from the elements (eV/atom) = 0.348

a = 5.6833 Å, b = 5.6833 Å, c = 5.6833 Å
α = 147.09°, β = 147.09°, γ = 47.23°
Closest atoms and distances in Å follow each position.
Positions (direct):
1 Ca 0.0000 0.0000 0.0000  10 Fe 3.04-3.15, 4 Ca 3.22
2 Fe 0.2914 0.2914 0.0000  4 Fe 2.43
3 Fe 0.7086 0.7086 0.0000  4 Fe 2.43

=====

No. 5
# ZnCO2

ZnCO2 after structural relaxation (GGA-PBE, Alexandria via LeMat-Bulk).

- space group = No. 166
- energy above the lowest structure with this stoichiometry (meV per atom) = 0
- formation energy (no corrections) (eV/f.u.) = -2.54

a = 8.1325 Å, b = 8.1325 Å, c = 8.1325 Å
α = 20.18°, β = 20.18°, γ = 20.18°
Closest atoms and distances in Å follow each position.
Positions (direct):
1 Zn 0.0000 0.0000 0.0000  6 Zn 2.85
2 C 0.5000 0.5000 0.5000  2 O 1.18
3 O 0.4506 0.4506 0.4506  1 C 1.18
4 O 0.5494 0.5494 0.5494  1 C 1.18

=====

No. 6
# LiNpCoH6

LiNpCoH6 after structural relaxation (GGA-PBE, Alexandria via LeMat-Bulk).

- E_tot (eV/atom) = -4.832
- space group = No. 187

a = 4.3174 Å, b = 4.3174 Å, c = 4.1951 Å
α = 90.00°, β = 90.00°, γ = 120.00°
Closest atoms and distances in Å follow each position.
Positions (direct):
1 Li 0.0000 0.0000 0.0000  6 H 1.75
2 Np 0.6667 0.3333 0.5000  12 H 2.38
3 Co 0.3333 0.6667 0.0000  6 H 1.60
4 H 0.1798 0.3597 0.2651  1 Co 1.60, 1 Li 1.75
5 H 0.1798 0.3597 0.7349  1 Co 1.60, 1 Li 1.75
6 H 0.1798 0.8202 0.2651  1 Co 1.60, 1 Li 1.75
7 H 0.1798 0.8202 0.7349  1 Co 1.60, 1 Li 1.75
8 H 0.6404 0.8202 0.2651  1 Co 1.60, 1 Li 1.75
9 H 0.6404 0.8202 0.7349  1 Co 1.60, 1 Li 1.75